The following is a PBE calculation of a relaxed structure of K2MnRe, from the Alexandria database.

Calculated values
As for the calculated total energy: -18.20 eV/cell.

Lattice parameters (Å, degrees): 12.1744 12.1744 12.1744 13.68 13.68 13.68
Last column: magnetic moment on the atom in μB.
Sites, in units of the cell vectors:
1 K 0.4967 0.4967 0.4967  0.02
2 Mn 0.2500 0.2500 0.2500  -3.59
3 K 0.0033 0.0033 0.0033  0.02
4 Re 0.7500 0.7500 0.7500  -0.22

The following is a PBE calculation of a relaxed structure of K2MnRe, from the Alexandria database.

Calculated values
As for the calculated total energy: -17.80 eV/cell.

Lattice parameters (Å, degrees): 6.4986 6.4986 2.7735 90.00 90.00 129.82
Last column: magnetic moment on the atom in μB.
Sites, in units of the cell vectors:
1 K 0.0000 0.0000 0.0000  0.00
2 Mn 0.5000 0.0000 0.5000  3.64
3 K 0.5000 0.5000 0.0000  0.00
4 Re 0.0000 0.5000 0.5000  -0.40

The following is a PBE calculation of a relaxed structure of K2MnRe, from the Alexandria database.

Calculated values
As for the calculated total energy: -18.11 eV/cell.

Lattice parameters (Å, degrees): 5.1373 6.6142 2.7962 79.78 84.99 111.71
Last column: magnetic moment on the atom in μB.
Sites, in units of the cell vectors:
1 K 0.5000 0.0000 0.5000  -0.02
2 K 0.0000 0.0000 0.0000  -0.02
3 Re 0.5000 0.5000 0.0000  -0.56
4 Mn 0.0000 0.5000 0.5000  3.49

The following is a PBE calculation of a relaxed structure of K2MnRh, from the Alexandria database.

Calculated values
As for the calculated total energy: -15.29 eV/cell.

Lattice parameters (Å, degrees): 6.2021 6.2021 6.2021 140.55 140.55 57.03
Last column: magnetic moment on the atom in μB.
Sites, in units of the cell vectors:
1 Mn 0.2500 0.7500 0.5000  4.04
2 K 0.0000 0.0000 0.0000  -0.01
3 K 0.5000 0.5000 0.0000  -0.01
4 Rh 0.7500 0.2500 0.5000  0.11

The following is a PBE calculation of a relaxed structure of KMn2Rh, from the Alexandria database.

Calculated values
As for the calculated total energy: -22.91 eV/cell.

Lattice parameters (Å, degrees): 5.2673 5.2673 5.2673 132.82 132.82 68.94
Last column: magnetic moment on the atom in μB.
Sites, in units of the cell vectors:
1 Mn 0.2500 0.7500 0.5000  4.00
2 K 0.7500 0.2500 0.5000  0.02
3 Mn 0.0000 0.0000 0.0000  4.02
4 Rh 0.5000 0.5000 0.0000  0.56

The following is a PBE calculation of a relaxed structure of KMn2Rh, from the Alexandria database.

Calculated values
As for the calculated total energy: -24.68 eV/cell.

Lattice parameters (Å, degrees): 3.0627 3.0628 8.3156 90.00 90.00 90.00
Last column: magnetic moment on the atom in μB.
Sites, in units of the cell vectors:
1 Mn 0.5000 0.5000 0.2678  2.65
2 Mn 0.0000 0.0000 0.0834  3.64
3 K 0.5000 0.5000 0.7288  0.01
4 Rh 0.0000 0.0000 0.4200  0.23

no.,formation enthalpy at 0 K (meV per atom),volume (A^3/atom)
1,1403,21.9
2,1502,22.5
3,1426,21.4
4,855,23.9
5,968,19.3
6,527,19.5